The following is a DFT calculation (GGA-PBE) of a relaxed CaH2Au crystal.

a = 4.2262 Å, b = 4.2262 Å, c = 4.2262 Å
α = 60.00°, β = 60.00°, γ = 60.00°
Closest atoms and distances in Å follow each position.
Fractional positions:
Ca: 0.0000 0.0000 0.0000  8 H 2.59
H: 0.2500 0.2500 0.2500  4 Au 2.59, 4 Ca 2.59
H: 0.7500 0.7500 0.7500  4 Au 2.59, 4 Ca 2.59
Au: 0.5000 0.5000 0.5000  8 H 2.59

Computed properties:
polymorph energy (0 for the lowest one)	0.275	eV per atom
spin magnetization	0.000	μB/atom
DOS(E_F)	0.9	states/eV/cell
space-group type	No. 225